Record 1
Entry from Alexandria: a geometry-optimized La2Rh structure (GGA-PBEsol).

## Properties
- calculated volume (A^3/atom) = 28.13
- formation enthalpy at 0 K (meV per atom) = -414

Unit cell a=4.9234 b=4.9234 c=4.9234 alpha=60.00 beta=60.00 gamma=60.00
With the nearest neighbours (Å) after each atom.
Element x y z (fractional)
Rh 0.0000 0.0000 0.0000  8 La 3.01
La 0.7500 0.7500 0.7500  4 Rh 3.01
La 0.2500 0.2500 0.2500  4 Rh 3.01

***

Record 2
Entry from Alexandria: a geometry-optimized La2Rh7 structure (GGA-PBEsol).

## Properties
- calculated volume (A^3/atom) = 17.32
- formation enthalpy at 0 K (meV per atom) = -412

Unit cell a=5.2543 b=5.2543 c=26.0747 alpha=90.00 beta=90.00 gamma=120.00
With the nearest neighbours (Å) after each atom.
Element x y z (fractional)
La 0.3333 0.6667 0.8263  12 Rh 3.04-3.30
La 0.6667 0.3333 0.3263  12 Rh 3.04-3.30
La 0.6667 0.3333 0.1737  12 Rh 3.04-3.30
La 0.3333 0.6667 0.6737  12 Rh 3.04-3.30
La 0.3333 0.6667 0.9711  12 Rh 3.02-3.36
La 0.6667 0.3333 0.4711  12 Rh 3.02-3.36
La 0.6667 0.3333 0.0289  12 Rh 3.02-3.36
La 0.3333 0.6667 0.5289  12 Rh 3.02-3.36
Rh 0.0000 0.0000 0.0000  6 Rh 2.71
Rh 0.0000 0.0000 0.5000  6 Rh 2.71
Rh 0.0000 0.0000 0.8324  6 Rh 2.61-2.63
Rh 0.0000 0.0000 0.3324  6 Rh 2.61-2.63
Rh 0.0000 0.0000 0.1676  6 Rh 2.61-2.63
Rh 0.0000 0.0000 0.6676  6 Rh 2.61-2.63
Rh 0.3333 0.6667 0.1670  6 Rh 2.60-2.64
Rh 0.6667 0.3333 0.6670  6 Rh 2.60-2.64
Rh 0.6667 0.3333 0.8330  6 Rh 2.60-2.64
Rh 0.3333 0.6667 0.3330  6 Rh 2.60-2.64
Rh 0.3330 0.1665 0.7500  8 Rh 2.62-2.64
Rh 0.8335 0.6670 0.7500  8 Rh 2.62-2.64
Rh 0.8335 0.1665 0.7500  8 Rh 2.62-2.64
Rh 0.6670 0.8335 0.2500  8 Rh 2.62-2.64
Rh 0.1665 0.3330 0.2500  8 Rh 2.62-2.64
Rh 0.1665 0.8335 0.2500  8 Rh 2.62-2.64
Rh 0.3333 0.1666 0.9139  7 Rh 2.60-2.71
Rh 0.8334 0.6667 0.9139  7 Rh 2.60-2.71
Rh 0.8334 0.1666 0.9139  7 Rh 2.60-2.71
Rh 0.6667 0.8334 0.4139  7 Rh 2.60-2.71
Rh 0.1666 0.3333 0.4139  7 Rh 2.60-2.71
Rh 0.1666 0.8334 0.4139  7 Rh 2.60-2.71
Rh 0.1666 0.3333 0.0861  7 Rh 2.60-2.71
Rh 0.6667 0.8334 0.0861  7 Rh 2.60-2.71
Rh 0.1666 0.8334 0.0861  7 Rh 2.60-2.71
Rh 0.8334 0.6667 0.5861  7 Rh 2.60-2.71
Rh 0.3333 0.1666 0.5861  7 Rh 2.60-2.71
Rh 0.8334 0.1666 0.5861  7 Rh 2.60-2.71

***

Record 3
Entry from Alexandria: a geometry-optimized LaRh2 structure (GGA-PBEsol).

## Properties
- calculated volume (A^3/atom) = 18.08
- formation enthalpy at 0 K (meV per atom) = -671

Unit cell a=5.3530 b=5.3530 c=5.3530 alpha=60.00 beta=60.00 gamma=60.00
With the nearest neighbours (Å) after each atom.
Element x y z (fractional)
La 0.2500 0.2500 0.2500  12 Rh 3.14, 4 La 3.28
La 0.0000 0.0000 0.0000  12 Rh 3.14, 4 La 3.28
Rh 0.6250 0.6250 0.1250  6 Rh 2.68
Rh 0.1250 0.6250 0.6250  6 Rh 2.68
Rh 0.6250 0.6250 0.6250  6 Rh 2.68
Rh 0.6250 0.1250 0.6250  6 Rh 2.68

***

Record 4
Entry from Alexandria: a geometry-optimized La2Rh structure (GGA-PBEsol).

## Properties
- calculated volume (A^3/atom) = 31.53
- formation enthalpy at 0 K (meV per atom) = -463

Unit cell a=4.1081 b=4.1081 c=6.4722 alpha=90.00 beta=90.00 gamma=120.00
With the nearest neighbours (Å) after each atom.
Element x y z (fractional)
Rh 0.0000 0.0000 0.0000  6 La 2.82
La 0.6667 0.3333 0.2365  3 Rh 2.82
La 0.3333 0.6667 0.7635  3 Rh 2.82

***

Record 5
Entry from Alexandria: a geometry-optimized La5Rh3 structure (GGA-PBEsol).

## Properties
- calculated volume (A^3/atom) = 24.51
- formation enthalpy at 0 K (meV per atom) = -520

Unit cell a=6.2335 b=8.5224 c=8.5224 alpha=82.31 beta=68.55 gamma=68.55
With the nearest neighbours (Å) after each atom.
Element x y z (fractional)
La 0.2500 0.5000 0.5000  4 Rh 2.93, 2 La 3.12
La 0.7500 0.5000 0.5000  4 Rh 2.93, 2 La 3.12
La 0.9125 0.8766 0.2984  4 Rh 2.94-3.11, 1 La 3.20
La 0.0875 0.1234 0.7016  4 Rh 2.94-3.11, 1 La 3.20
La 0.4125 0.2984 0.8766  4 Rh 2.94-3.11, 1 La 3.20
La 0.5875 0.7016 0.1234  4 Rh 2.94-3.11, 1 La 3.20
La 0.7109 0.8766 0.7016  4 Rh 2.94-3.11, 1 La 3.20
La 0.2891 0.1234 0.2984  4 Rh 2.94-3.11, 1 La 3.20
La 0.7891 0.2984 0.1234  4 Rh 2.94-3.11, 1 La 3.20
La 0.2109 0.7016 0.8766  4 Rh 2.94-3.11, 1 La 3.20
Rh 0.2500 0.0000 0.0000  8 La 3.00, 2 Rh 3.12
Rh 0.7500 0.0000 0.0000  8 La 3.00, 2 Rh 3.12
Rh 0.8437 0.5000 0.8126  6 La 2.93-3.11
Rh 0.1563 0.5000 0.1874  6 La 2.93-3.11
Rh 0.3437 0.8126 0.5000  6 La 2.93-3.11
Rh 0.6563 0.1874 0.5000  6 La 2.93-3.11

***

Record 6
Entry from Alexandria: a geometry-optimized La2Rh structure (GGA-PBEsol).

## Properties
- calculated volume (A^3/atom) = 31.21
- formation enthalpy at 0 K (meV per atom) = -463

Unit cell a=4.1851 b=6.6401 c=6.7376 alpha=90.00 beta=90.00 gamma=90.00
With the nearest neighbours (Å) after each atom.
Element x y z (fractional)
La 0.0000 0.2674 0.3341  3 Rh 2.83-2.87
La 0.5000 0.2326 0.8341  3 Rh 2.83-2.87
La 0.5000 0.7674 0.1659  3 Rh 2.83-2.87
La 0.0000 0.7326 0.6659  3 Rh 2.83-2.87
Rh 0.0000 0.0000 0.0000  6 La 2.83-2.87
Rh 0.5000 0.5000 0.5000  6 La 2.83-2.87

***

Record 7
Entry from Alexandria: a geometry-optimized La4Rh3 structure (GGA-PBEsol).

## Properties
- calculated volume (A^3/atom) = 24.55
- formation enthalpy at 0 K (meV per atom) = -630

Unit cell a=7.6434 b=7.6434 c=7.6434 alpha=109.47 beta=109.47 gamma=109.47
With the nearest neighbours (Å) after each atom.
Element x y z (fractional)
La 0.6152 0.6152 0.1152  3 Rh 2.83
La 0.5000 0.8848 0.5000  3 Rh 2.83
La 0.8848 0.0000 0.0000  3 Rh 2.83
La 0.0000 0.5000 0.3848  3 Rh 2.83
La 0.1152 0.1152 0.6152  3 Rh 2.83
La 0.5000 0.3848 0.5000  3 Rh 2.83
La 0.0000 0.5000 0.8848  3 Rh 2.83
La 0.3848 0.0000 0.0000  3 Rh 2.83
Rh 0.1250 0.8750 0.2500  4 La 2.83
Rh 0.3750 0.6250 0.7500  4 La 2.83
Rh 0.7500 0.1250 0.3750  4 La 2.83
Rh 0.2500 0.3750 0.1250  4 La 2.83
Rh 0.8750 0.7500 0.6250  4 La 2.83
Rh 0.6250 0.2500 0.8750  4 La 2.83

***

Record 8
Entry from Alexandria: a geometry-optimized La4Rh structure (GGA-PBEsol).

## Properties
- calculated volume (A^3/atom) = 28.95
- formation enthalpy at 0 K (meV per atom) = -238

Unit cell a=3.6687 b=6.5445 c=6.5449 alpha=85.53 beta=73.77 gamma=73.65
With the nearest neighbours (Å) after each atom.
Element x y z (fractional)
Rh 0.0000 0.0000 0.0000  8 La 3.05
La 0.2372 0.1847 0.3410  2 Rh 3.05
La 0.7628 0.8153 0.6590  2 Rh 3.05
La 0.4216 0.3410 0.8156  2 Rh 3.05
La 0.5784 0.6590 0.1844  2 Rh 3.05

***

Record 9
Entry from Alexandria: a geometry-optimized La2Rh7 structure (GGA-PBEsol).

## Properties
- calculated volume (A^3/atom) = 17.32
- formation enthalpy at 0 K (meV per atom) = -410

Unit cell a=5.2558 b=5.2558 c=13.3816 alpha=78.67 beta=78.67 gamma=60.00
With the nearest neighbours (Å) after each atom.
Element x y z (fractional)
La 0.0508 0.0508 0.8476  12 Rh 3.04-3.29
La 0.9492 0.9492 0.1524  12 Rh 3.04-3.29
La 0.1473 0.1473 0.5582  12 Rh 3.02-3.36
La 0.8527 0.8527 0.4418  12 Rh 3.02-3.36
Rh 0.5000 0.5000 0.5000  6 Rh 2.71
Rh 0.2782 0.2782 0.1655  6 Rh 2.60-2.64
Rh 0.7218 0.7218 0.8345  6 Rh 2.60-2.64
Rh 0.3885 0.3885 0.8346  6 Rh 2.60-2.64
Rh 0.6115 0.6115 0.1654  6 Rh 2.60-2.64
Rh 0.5000 0.5000 0.0000  8 Rh 2.63-2.64
Rh 0.0000 0.5000 0.0000  8 Rh 2.63-2.64
Rh 0.5000 0.0000 0.0000  8 Rh 2.63-2.64
Rh 0.6093 0.1092 0.6723  7 Rh 2.60-2.71
Rh 0.6093 0.6093 0.6723  7 Rh 2.60-2.71
Rh 0.1092 0.6093 0.6723  7 Rh 2.60-2.71
Rh 0.3907 0.8908 0.3277  7 Rh 2.60-2.71
Rh 0.3907 0.3907 0.3277  7 Rh 2.60-2.71
Rh 0.8908 0.3907 0.3277  7 Rh 2.60-2.71

***

Record 10
Entry from Alexandria: a geometry-optimized La2Rh3 structure (GGA-PBEsol).

## Properties
- calculated volume (A^3/atom) = 20.53
- formation enthalpy at 0 K (meV per atom) = -571

Unit cell a=5.3896 b=5.4681 c=8.4482 alpha=99.04 beta=108.60 gamma=60.47
With the nearest neighbours (Å) after each atom.
Element x y z (fractional)
La 0.5117 0.6613 0.9062  8 Rh 2.93-3.24
La 0.2668 0.3387 0.0938  8 Rh 2.93-3.24
La 0.8555 0.1613 0.5938  8 Rh 2.93-3.24
La 0.4230 0.8387 0.4062  8 Rh 2.93-3.24
Rh 0.4489 0.1524 0.7529  4 Rh 2.58-2.73
Rh 0.8485 0.8476 0.2471  4 Rh 2.58-2.73
Rh 0.9460 0.6524 0.7471  4 Rh 2.58-2.73
Rh 0.8514 0.3476 0.2529  4 Rh 2.58-2.73
Rh 0.9241 0.0000 0.0000  4 Rh 2.58-2.62
Rh 0.1741 0.5000 0.5000  4 Rh 2.58-2.62

***

Record 11
Entry from Alexandria: a geometry-optimized LaRu2Rh structure (GGA-PBEsol).

## Properties
- calculated volume (A^3/atom) = 16.70
- formation enthalpy at 0 K (meV per atom) = 231

Unit cell a=4.0017 b=4.0017 c=4.1715 alpha=90.00 beta=90.00 gamma=90.00
With the nearest neighbours (Å) after each atom.
Element x y z (fractional)
La 0.5000 0.5000 0.5000  4 Rh 2.83, 8 Ru 2.89
Rh 0.0000 0.0000 0.5000  4 La 2.83, 8 Ru 2.89
Ru 0.0000 0.5000 0.0000  4 Ru 2.83, 4 La 2.89, 4 Rh 2.89
Ru 0.5000 0.0000 0.0000  4 Ru 2.83, 4 La 2.89, 4 Rh 2.89

***

Record 12
Entry from Alexandria: a geometry-optimized LaRuRh structure (GGA-PBEsol).

## Properties
- calculated volume (A^3/atom) = 18.99
- formation enthalpy at 0 K (meV per atom) = 32

Unit cell a=2.9633 b=3.9520 c=5.4564 alpha=111.23 beta=105.76 gamma=90.00
With the nearest neighbours (Å) after each atom.
Element x y z (fractional)
La 0.0010 0.0010 0.0020  1 Ru 2.80, 1 Rh 2.83, 2 La 2.96
Rh 0.7101 0.7101 0.4202  4 Ru 2.59, 1 La 2.83
Ru 0.2889 0.2889 0.5778  4 Rh 2.59, 1 La 2.80